VASP calculation (PBE) on a relaxed structure of Tl2POs.

Lattice parameters (Å, degrees): 5.376 5.376 5.376 141.46 124.20 69.86
Sites, in units of the cell vectors:
1 Tl 0.754 0.754 0.000
2 Tl 0.246 0.246 0.000
3 P 0.000 0.500 0.500
4 Os 0.500 0.000 0.500

Values from the calculation:
final energy: -17.2 eV for the cell shown
theoretical density: 13.30 g/cm3
E_form: 1.0456 eV/atom
energy above the most stable polymorph in this dataset: 888 meV/atom
Fermi-level density of states: 2.15 states/eV/cell

---

VASP calculation (PBE) on a relaxed structure of Nd4ErTl4.

Lattice parameters (Å, degrees): 6.271 9.359 9.359 90.00 90.00 90.00
Sites, in units of the cell vectors:
1 Nd 0.368 0.425 0.830
2 Nd 0.868 0.670 0.925
3 Nd 0.368 0.575 0.170
4 Nd 0.132 0.075 0.670
5 Nd 0.632 0.830 0.575
6 Nd 0.132 0.925 0.330
7 Nd 0.868 0.330 0.075
8 Nd 0.632 0.170 0.425
9 Er 0.000 0.000 0.000
10 Er 0.500 0.500 0.500
11 Tl 0.623 0.901 0.203
12 Tl 0.623 0.099 0.797
13 Tl 0.123 0.703 0.599
14 Tl 0.877 0.401 0.703
15 Tl 0.877 0.599 0.297
16 Tl 0.377 0.203 0.099
17 Tl 0.377 0.797 0.901
18 Tl 0.123 0.297 0.401

Values from the calculation:
final energy: -69.8 eV for the cell shown
theoretical density: 9.44 g/cm3
E_form: -0.1974 eV/atom
Fermi-level density of states: 13.85 states/eV/cell

---

VASP calculation (PBE) on a relaxed structure of LiNiRu.

Lattice parameters (Å, degrees): 6.123 6.123 6.123 155.64 155.64 34.72
Sites, in units of the cell vectors:
1 Li 0.995 0.995 0.000
2 Ni 0.327 0.327 0.000
3 Ru 0.679 0.679 0.000

Values from the calculation:
final energy: -16.5 eV for the cell shown
theoretical density: 7.10 g/cm3
E_form: 0.1612 eV/atom
energy above the most stable polymorph in this dataset: 6 meV/atom
Fermi-level density of states: 2.90 states/eV/cell

---

VASP calculation (PBE) on a relaxed structure of BeCrAsBr2.

Lattice parameters (Å, degrees): 4.887 4.887 4.581 90.00 90.00 90.00
Sites, in units of the cell vectors:
1 Cr 0.500 0.500 0.500
2 As 0.000 0.000 0.500
3 Br 0.000 0.500 0.000
4 Br 0.500 0.000 0.000
5 Be 0.000 0.000 0.000

Values from the calculation:
final energy: -19.3 eV for the cell shown
theoretical density: 4.49 g/cm3
formation energy without anion corrections: 199.0 kJ/mol of formula units
energy above the most stable polymorph in this dataset: 0 meV/atom
Fermi-level density of states: 2.78 states/eV/cell

---

VASP calculation (PBE) on a relaxed structure of HoSbPd2.

Lattice parameters (Å, degrees): 4.800 4.800 4.800 60.00 60.00 60.00
Sites, in units of the cell vectors:
1 Sb 0.000 0.000 0.000
2 Ho 0.500 0.500 0.500
3 Pd 0.250 0.250 0.250
4 Pd 0.750 0.750 0.750

Values from the calculation:
final energy: -22.5 eV for the cell shown
theoretical density: 10.61 g/cm3
formation energy without anion corrections: -333.3 kJ/mol of formula units
energy above the most stable polymorph in this dataset: 0 meV/atom
Fermi-level density of states: 1.58 states/eV/cell

---

VASP calculation (PBE) on a relaxed structure of In5NiPd6.

Lattice parameters (Å, degrees): 4.514 7.941 7.941 118.57 106.62 106.62
Sites, in units of the cell vectors:
1 Ni 0.000 0.000 0.000
2 Pd 0.247 0.082 0.412
3 Pd 0.753 0.588 0.918
4 Pd 0.755 0.256 0.256
5 Pd 0.245 0.744 0.744
6 Pd 0.247 0.412 0.082
7 Pd 0.753 0.918 0.588
8 In 0.500 0.155 0.845
9 In 0.000 0.331 0.669
10 In 0.500 0.500 0.500
11 In 0.000 0.669 0.331
12 In 0.500 0.845 0.155

Values from the calculation:
final energy: -55.6 eV for the cell shown
theoretical density: 10.19 g/cm3
E_form: -0.4122 eV/atom
Fermi-level density of states: 5.46 states/eV/cell

---

VASP calculation (PBE) on a relaxed structure of PuURuRh.

Lattice parameters (Å, degrees): 4.596 4.596 4.596 60.00 60.00 60.00
Sites, in units of the cell vectors:
1 Ru 0.750 0.750 0.750
2 Rh 0.000 0.000 0.000
3 U 0.500 0.500 0.500
4 Pu 0.250 0.250 0.250

Values from the calculation:
final energy: -43.7 eV for the cell shown
theoretical density: 16.59 g/cm3
E_form: -0.3653 eV/atom
Fermi-level density of states: 6.39 states/eV/cell

---

VASP calculation (PBE) on a relaxed structure of Sc8MnAl2.

Lattice parameters (Å, degrees): 5.042 6.359 8.304 112.51 107.68 90.00
Sites, in units of the cell vectors:
1 Sc 0.625 0.865 0.250
2 Sc 0.375 0.615 0.750
3 Sc 0.191 0.191 0.383
4 Sc 0.000 0.244 0.000
5 Sc 0.809 0.809 0.617
6 Sc 0.625 0.385 0.250
7 Sc 0.375 0.135 0.750
8 Sc 0.000 0.756 0.000
9 Mn 0.500 0.000 0.000
10 Al 0.186 0.686 0.372
11 Al 0.814 0.314 0.628

Values from the calculation:
final energy: -69.2 eV for the cell shown
theoretical density: 3.35 g/cm3
E_form: -0.1742 eV/atom
Fermi-level density of states: 11.38 states/eV/cell

---

Q: Look up the theoretical density of the second one.
A: 9.44 g/cm3

---

Q: Among the records above, which one has the lowest Fermi-level density of states?
A: HoSbPd2

---

Copy entry 2 word for word.
VASP calculation (PBE) on a relaxed structure of Nd4ErTl4.

Lattice parameters (Å, degrees): 6.271 9.359 9.359 90.00 90.00 90.00
Sites, in units of the cell vectors:
1 Nd 0.368 0.425 0.830
2 Nd 0.868 0.670 0.925
3 Nd 0.368 0.575 0.170
4 Nd 0.132 0.075 0.670
5 Nd 0.632 0.830 0.575
6 Nd 0.132 0.925 0.330
7 Nd 0.868 0.330 0.075
8 Nd 0.632 0.170 0.425
9 Er 0.000 0.000 0.000
10 Er 0.500 0.500 0.500
11 Tl 0.623 0.901 0.203
12 Tl 0.623 0.099 0.797
13 Tl 0.123 0.703 0.599
14 Tl 0.877 0.401 0.703
15 Tl 0.877 0.599 0.297
16 Tl 0.377 0.203 0.099
17 Tl 0.377 0.797 0.901
18 Tl 0.123 0.297 0.401

Values from the calculation:
final energy: -69.8 eV for the cell shown
theoretical density: 9.44 g/cm3
E_form: -0.1974 eV/atom
Fermi-level density of states: 13.85 states/eV/cell

---

Q: Look up the Fermi-level density of states of the seventh one.
A: 6.39 states/eV/cell